[1]
The following is a DFT calculation (PBE) of a relaxed structure of Sr2OsPt.

The space group is I4/mmm (139). The calculation puts the total DFT energy (no corrections) at -19.1 eV for the cell shown. For the calculated volume, the calculation gives 23.656 Å³/atom. The formation energy comes out at 0.3773 eV/atom.

Cell: 5.371 5.371 5.371 Å, 127.50 127.50 77.44°
Fractional positions:
1 Sr 0.250 0.750 0.500
2 Sr 0.750 0.250 0.500
3 Os 0.000 0.000 0.000
4 Pt 0.500 0.500 0.000

***

[2]
The following is a DFT calculation (PBE) of a relaxed structure of Sr4OsPt.

The space group is F-43m (216). The calculation puts the total DFT energy (no corrections) at -16.8 eV for the cell shown. For the calculated volume, the calculation gives 28.939 Å³/atom. The formation energy comes out at 1.1972 eV/atom.

Cell: 6.262 6.262 6.262 Å, 60.00 60.00 60.00°
Fractional positions:
1 Sr 0.125 0.125 0.125
2 Sr 0.125 0.125 0.626
3 Sr 0.125 0.626 0.125
4 Sr 0.626 0.125 0.125
5 Os 0.750 0.750 0.750
6 Pt 0.500 0.500 0.500

***

[3]
The following is a DFT calculation (PBE) of a relaxed structure of SrOsPt3.

The space group is Pm-3m (221). The calculation puts the total DFT energy (no corrections) at -18.9 eV for the cell shown. For the calculated volume, the calculation gives 25.868 Å³/atom. The formation energy comes out at 2.4302 eV/atom.

Cell: 5.057 5.057 5.057 Å, 90.00 90.00 90.00°
Fractional positions:
1 Sr 0.000 0.000 0.000
2 Os 0.500 0.500 0.500
3 Pt 0.000 0.000 0.500
4 Pt 0.000 0.500 0.000
5 Pt 0.500 0.000 0.000

***

[4]
The following is a DFT calculation (PBE) of a relaxed structure of Sr2OsPt.

The space group is Cmmm (65). The calculation puts the total DFT energy (no corrections) at -19.4 eV for the cell shown. For the calculated volume, the calculation gives 23.644 Å³/atom. The formation energy comes out at 0.3049 eV/atom.

Cell: 5.641 5.641 2.972 Å, 90.00 90.00 90.06°
Fractional positions:
1 Sr 0.000 0.500 0.000
2 Sr 0.500 0.000 0.000
3 Os 0.000 0.000 0.500
4 Pt 0.500 0.500 0.500

***

[5]
The following is a DFT calculation (PBE) of a relaxed structure of SrOs2Pt2.

The space group is I4/mmm (139). The calculation puts the total DFT energy (no corrections) at -35.6 eV for the cell shown. For the calculated volume, the calculation gives 20.182 Å³/atom. The formation energy comes out at 0.1309 eV/atom.

Cell: 6.006 6.006 6.006 Å, 136.62 136.62 63.02°
Fractional positions:
1 Sr 0.000 0.000 0.000
2 Os 0.389 0.389 0.000
3 Os 0.611 0.611 0.000
4 Pt 0.250 0.750 0.500
5 Pt 0.750 0.250 0.500

***

[6]
The following is a DFT calculation (PBE) of a relaxed structure of Sr2OsPt.

The space group is I-42d (122). The calculation puts the total DFT energy (no corrections) at -36.7 eV for the cell shown. For the calculated volume, the calculation gives 24.993 Å³/atom. The formation energy comes out at 0.5756 eV/atom.

Cell: 6.519 6.519 6.519 Å, 101.95 101.95 125.87°
Fractional positions:
1 Sr 0.116 0.625 0.991
2 Sr 0.375 0.366 0.491
3 Sr 0.634 0.125 0.009
4 Sr 0.875 0.884 0.509
5 Os 0.250 0.750 0.500
6 Os 0.500 0.500 0.000
7 Pt 0.000 0.000 0.000
8 Pt 0.750 0.250 0.500